[1]
Crystalline La12Sm6Tl at its relaxed geometry, computed with GGA-PBE.

Cell and atoms, written as POSCAR:
```
La12Sm6Tl
1.0
9.0233 -0.8006 -2.6748
-3.3556 8.4144 -2.6748
-0.5960 -0.8006 9.3925
La Sm Tl
12 6 1
Direct
0.2728 0.0558 0.8138
0.3467 0.4923 0.8535
0.5077 0.1465 0.6533
0.9442 0.1862 0.7272
0.8138 0.2728 0.0558
0.0558 0.8138 0.2728
0.1862 0.7272 0.9442
0.6533 0.5077 0.1465
0.1465 0.6533 0.5077
0.4923 0.8535 0.3467
0.8535 0.3467 0.4923
0.7272 0.9442 0.1862
0.8025 0.7326 0.5502
0.1975 0.2674 0.4498
0.5502 0.8025 0.7326
0.4498 0.1975 0.2674
0.2674 0.4498 0.1975
0.7326 0.5502 0.8025
0.0000 0.0000 0.0000
```

=====

[2]
Crystalline La2Sm3Tl at its relaxed geometry, computed with GGA-PBE.

Cell and atoms, written as POSCAR:
```
La2Sm3Tl
1.0
6.4639 -0.0002 0.0021
0.0000 7.0320 0.7125
-3.2290 -0.8956 8.8081
Sm La Tl
6 4 2
Direct
0.1387 0.4999 0.2775
0.1385 0.0001 0.2775
0.6763 0.2500 0.9999
0.3237 0.7500 0.0001
0.8613 0.5001 0.7225
0.8615 0.9999 0.7225
0.7053 0.7497 0.3595
0.6531 0.2497 0.3591
0.2947 0.2503 0.6405
0.3469 0.7503 0.6409
0.1932 0.2500 0.9999
0.8068 0.7500 0.0001
```

=====

[3]
Crystalline LaSm7Tl4 at its relaxed geometry, computed with GGA-PBE.

Cell and atoms, written as POSCAR:
```
LaSm7Tl4
1.0
-2.0762 5.0955 -1.9918
-4.5156 4.3086 7.1335
4.6446 6.1059 2.1832
Sm Tl La
7 4 1
Direct
0.7946 0.8798 0.5311
0.7234 0.3395 0.2136
0.0620 0.6037 0.2722
0.9380 0.3963 0.7278
0.5000 0.0000 0.0000
0.2766 0.6605 0.7864
0.2054 0.1202 0.4689
0.4409 0.7499 0.3684
0.6864 0.6677 0.9596
0.3136 0.3323 0.0404
0.5591 0.2501 0.6316
0.0000 0.0000 0.0000
```

=====

Number 1: energy of formation from the pure elements 83 meV/atom. Number 2: energy of formation from the pure elements -71 meV/atom. Number 3: energy of formation from the pure elements -64 meV/atom.